Below is crystalline Y3Ga4 at its relaxed geometry, with properties calculated at the PBE-GGA level.

Summary:
crystal system	orthorhombic
calculated total energy	-71.7	eV/cell
total magnetic moment	0.0000	μB/atom
DFT formation energy	-0.620	eV/atom

a = 4.122 Å, b = 5.828 Å, c = 14.031 Å
α = 90.00°, β = 90.00°, γ = 110.76°
Fractional positions:
Ga 0.417 0.834 0.101
Ga 0.585 0.170 0.601
Ga 0.417 0.834 0.400
Ga 0.585 0.170 0.900
Ga 0.275 0.549 0.250
Ga 0.727 0.456 0.750
Ga 0.001 0.002 0.500
Ga 0.001 0.002 0.000
Y 0.002 0.005 0.750
Y 0.704 0.407 0.101
Y 0.704 0.408 0.400
Y 0.299 0.597 0.900
Y 0.000 0.000 0.250
Y 0.299 0.597 0.601

=====

Below is crystalline Y3Ga2 at its relaxed geometry, with properties calculated at the PBE-GGA level.

Summary:
crystal system	tetragonal
calculated total energy	-27.8	eV/cell
total magnetic moment	0.0000	μB/atom
DFT formation energy	-0.474	eV/atom

a = 3.480 Å, b = 3.480 Å, c = 10.653 Å
α = 99.40°, β = 99.40°, γ = 90.00°
Fractional positions:
Y 0.817 0.817 0.633
Y 0.000 0.000 0.000
Y 0.183 0.183 0.367
Ga 0.593 0.593 0.186
Ga 0.407 0.407 0.814

=====

Below is crystalline YGa at its relaxed geometry, with properties calculated at the PBE-GGA level.

Summary:
crystal system	orthorhombic
calculated total energy	-167.9	eV/cell
total magnetic moment	0.0000	μB/atom
DFT formation energy	-0.501	eV/atom

a = 7.262 Å, b = 9.480 Å, c = 11.547 Å
α = 90.00°, β = 90.00°, γ = 90.00°
Fractional positions:
Ga 0.325 0.000 0.000
Ga 0.825 0.500 0.000
Ga 0.675 0.500 0.500
Ga 0.075 0.250 0.250
Ga 0.175 0.500 0.000
Ga 0.425 0.750 0.750
Ga 0.075 0.750 0.750
Ga 0.575 0.750 0.250
Ga 0.825 0.000 0.500
Ga 0.325 0.500 0.500
Ga 0.675 0.000 0.000
Ga 0.425 0.250 0.250
Ga 0.175 0.000 0.500
Ga 0.575 0.250 0.750
Ga 0.925 0.750 0.250
Ga 0.925 0.250 0.750
Y 0.500 0.205 0.500
Y 0.000 0.705 0.500
Y 0.000 0.295 0.500
Y 0.500 0.295 0.000
Y 0.500 0.705 0.000
Y 0.750 0.955 0.750
Y 0.750 0.455 0.250
Y 0.250 0.545 0.250
Y 0.750 0.545 0.750
Y 0.250 0.455 0.750
Y 0.500 0.795 0.500
Y 0.750 0.045 0.250
Y 0.000 0.795 0.000
Y 0.250 0.955 0.250
Y 0.250 0.045 0.750
Y 0.000 0.205 0.000

=====

Below is crystalline YGa6 at its relaxed geometry, with properties calculated at the PBE-GGA level.

Summary:
crystal system	cubic
calculated total energy	-23.6	eV/cell
total magnetic moment	0.0000	μB/atom
DFT formation energy	0.147	eV/atom
relative energy among the computed polymorphs	44.53	kJ per mole of atoms

a = 6.027 Å, b = 6.027 Å, c = 6.027 Å
α = 109.47°, β = 109.47°, γ = 109.47°
Fractional positions:
Ga 0.250 0.750 0.500
Ga 0.750 0.500 0.250
Ga 0.500 0.250 0.750
Ga 0.750 0.250 0.500
Ga 0.500 0.750 0.250
Ga 0.250 0.500 0.750
Y 0.000 0.000 0.000

=====

Below is crystalline YGa at its relaxed geometry, with properties calculated at the PBE-GGA level.

Summary:
crystal system	orthorhombic
calculated total energy	-83.1	eV/cell
total magnetic moment	0.0848	μB/atom
DFT formation energy	-0.449	eV/atom

a = 5.703 Å, b = 8.989 Å, c = 7.750 Å
α = 90.00°, β = 90.00°, γ = 90.00°
Each line ends with the local moment (μB).
Fractional positions:
Y 0.623 0.884 0.028  0.05
Y 0.123 0.616 0.972  0.05
Y 0.355 0.228 0.872  0.12
Y 0.877 0.116 0.528  0.05
Y 0.645 0.728 0.628  0.12
Y 0.145 0.772 0.372  0.12
Y 0.855 0.272 0.128  0.12
Y 0.377 0.384 0.472  0.05
Ga 0.605 0.534 0.932  0.00
Ga 0.895 0.466 0.432  0.00
Ga 0.105 0.966 0.068  0.00
Ga 0.886 0.377 0.754  -0.01
Ga 0.395 0.034 0.568  0.00
Ga 0.114 0.877 0.746  -0.01
Ga 0.614 0.623 0.254  -0.01
Ga 0.386 0.123 0.246  -0.01

=====

Below is crystalline YGa at its relaxed geometry, with properties calculated at the PBE-GGA level.

Summary:
crystal system	orthorhombic
calculated total energy	-42.5	eV/cell
total magnetic moment	0.0000	μB/atom
DFT formation energy	-0.563	eV/atom

a = 5.620 Å, b = 5.749 Å, c = 5.749 Å
α = 100.51°, β = 90.00°, γ = 90.00°
Fractional positions:
Ga 0.500 0.000 0.000
Ga 0.000 0.000 0.000
Ga 0.750 0.682 0.682
Ga 0.250 0.318 0.318
Y 0.250 0.841 0.463
Y 0.250 0.463 0.841
Y 0.750 0.537 0.159
Y 0.750 0.159 0.537